Entry from the Open Quantum Materials Database: a relaxed structure of Dy2Er3Lu2Ni2Te2 (PBE-GGA).

Values from the calculation:
The value obtained for the relative energy among the computed polymorphs is 0.09 eV/f.u. For the volume, the calculation gives 280.0 Å³ per cell. The calculation puts the theoretical density at 9.2 g/cm³. The calculated total energy comes out at -56.800 eV for the cell shown.

Lattice parameters (Å, degrees): 9.2550 9.2550 9.2550 156.14 67.08 118.36
Sites, in units of the cell vectors:
Te (0.2680, 0.7680, 0.5000)
Te (0.6592, 0.6592, 0.0000)
Dy (0.6240, 0.2704, 0.3537)
Dy (0.9167, 0.2704, 0.6463)
Er (0.0004, 0.0004, 0.0000)
Er (0.3078, 0.6231, 0.6847)
Er (0.9385, 0.6231, 0.3153)
Lu (0.2829, 0.4177, 0.8652)
Lu (0.5526, 0.4177, 0.1348)
Ni (0.6930, 0.9309, 0.7621)
Ni (0.1688, 0.9309, 0.2379)